DFT (PBE) results for a relaxed AlBO3 crystal.

Lattice parameters (Å, degrees): 5.4007 7.2362 4.2998 90.00 90.00 90.00
Last column: nearest neighbours and their distance in Å.
Space group Pnma (No. 62)
Symmetry-distinct sites (fractional):
Al 0.0000 0.0000 0.0000 [4 per cell]  6 O 1.91-2.01
B 0.1311 0.2500 0.4978 [4 per cell]  3 O 1.38-1.39
O 0.0344 0.2500 0.2012 [4 per cell]  1 B 1.38
O 0.1889 0.0870 0.6546 [8 per cell]  1 B 1.39

## Properties
- DOS at the Fermi energy (states/eV per cell) = 0.0
- uncorrected energy (eV per cell) = -154.34